12
Lattice="8.5818 0.0000 0.0000 0.0000 4.5228 0.0000 -0.7028 0.0000 11.0670" Properties=species:S:1:pos:R:3 comment="KNaPaTe3, optimized geometry, DFT PBE" formation_energy_uncorrected_mev_per_atom=-957 dos_ef_per_ev_fu=5.440 total_energy_ev_per_atom=-4.51 pbc="T T T"
K 0.5602 1.1307 1.8302
K 7.3188 3.3921 9.2368
Na 1.7015 3.3921 5.4851
Na 6.1776 1.1307 5.5819
Pa 2.9682 1.1307 9.0676
Pa 4.9108 3.3921 1.9994
Te 0.5292 1.1307 7.3852
Te 1.8431 3.3921 10.9461
Te 3.5244 1.1307 3.5827
Te 4.3546 3.3921 7.4842
Te 6.0360 1.1307 0.1209
Te 7.3499 3.3921 3.6818